Record 1
NaInSeBr2: relaxed, PBE.

- raw formation energy (meV/atom) = -669.3
- ρ (Mg/m³) = 3.781
- ΔE to the lowest computed polymorph (meV per atom) = 0.0

POSCAR file:
```
NaInSeBr2
1.0
-5.444 -1.382 0.162
1.328 -5.355 -1.069
0.389 -0.929 5.140
In Br Na Se
1 2 1 1
Direct
0.000 0.000 0.000 In
0.500 0.000 0.000 Br
0.000 0.500 0.000 Br
0.500 0.500 0.500 Na
0.000 0.000 0.500 Se
```

***

Record 2
NaInSeBr2: relaxed, PBE.

- raw formation energy (meV/atom) = -276.0
- ρ (Mg/m³) = 3.650
- ΔE to the lowest computed polymorph (meV per atom) = 393.3

POSCAR file:
```
NaInSeBr2
1.0
-1.670 -5.325 0.568
3.000 -0.438 4.720
-4.306 1.659 2.890
Se Br Na In
1 2 1 1
Direct
0.000 0.000 0.500 Se
0.000 0.500 0.000 Br
0.500 0.000 0.000 Br
0.000 0.000 0.000 Na
0.500 0.500 0.500 In
```

***

Record 3
NaInSe2Br: relaxed, PBE.

- raw formation energy (meV/atom) = 76.1
- ρ (Mg/m³) = 3.784
- ΔE to the lowest computed polymorph (meV per atom) = 474.4

POSCAR file:
```
NaInSe2Br
1.0
5.472 0.000 0.000
0.000 5.472 0.000
0.000 0.000 5.504
Na Se Br In
1 2 1 1
Direct
0.000 0.000 0.000 Na
0.500 0.000 0.000 Se
0.000 0.500 0.000 Se
0.000 0.000 0.500 Br
0.500 0.500 0.500 In
```

***

Record 4
NaInSe2Br: relaxed, PBE.

- raw formation energy (meV/atom) = -398.3
- ρ (Mg/m³) = 3.896
- ΔE to the lowest computed polymorph (meV per atom) = 0.0

POSCAR file:
```
NaInSe2Br
1.0
5.273 0.000 0.000
0.000 5.273 0.000
0.000 0.000 5.758
Se Br Na In
2 1 1 1
Direct
0.500 0.000 0.000 Se
0.000 0.500 0.000 Se
0.000 0.000 0.500 Br
0.500 0.500 0.500 Na
0.000 0.000 0.000 In
```